Record 1
# ErTiCdAu PBE optimized geometry
data_ErTiCdAu
_cell_length_a 4.9297
_cell_length_b 4.9297
_cell_length_c 4.9297
_cell_angle_alpha 60.00
_cell_angle_beta 60.00
_cell_angle_gamma 60.00
_space_group_name_H-M_alt 'P 1'
_space_group_IT_number 1
_space_group_name_Hall 'P 1'
loop_
_atom_site_label
_atom_site_fract_x
_atom_site_fract_y
_atom_site_fract_z
_atom_site_occupancy
Ti1 0.2500 0.2500 0.2500 1
Cd1 0.5000 0.5000 0.5000 1
Au1 0.0000 0.0000 0.0000 1
Er1 0.7500 0.7500 0.7500 1
# symmetry: F-43m
# energy of formation: -0.274 eV per atom
# crystal system: cubic
# ρ: 10.3 g cm⁻³

---

Record 2
# Er2TmCdAu4 PBE optimized geometry
data_Er2TmCdAu4
_cell_length_a 4.9697
_cell_length_b 4.9697
_cell_length_c 8.6793
_cell_angle_alpha 73.36
_cell_angle_beta 73.36
_cell_angle_gamma 60.00
_space_group_name_H-M_alt 'P 1'
_space_group_IT_number 1
_space_group_name_Hall 'P 1'
loop_
_atom_site_label
_atom_site_fract_x
_atom_site_fract_y
_atom_site_fract_z
_atom_site_occupancy
Er1 0.7436 0.7436 0.7691 1
Er2 0.2564 0.2564 0.2309 1
Tm1 0.5000 0.5000 0.5000 1
Cd1 0.0000 0.0000 0.0000 1
Au1 0.3799 0.3799 0.8604 1
Au2 0.8665 0.8665 0.4005 1
Au3 0.1335 0.1335 0.5995 1
Au4 0.6201 0.6201 0.1396 1
# symmetry: R-3m
# energy of formation: -0.796 eV per atom
# crystal system: trigonal
# ρ: 13.3 g cm⁻³

---

Record 3
# ErZn2CdAu2 PBE optimized geometry
data_ErZn2CdAu2
_cell_length_a 4.5548
_cell_length_b 4.5548
_cell_length_c 6.4773
_cell_angle_alpha 90.00
_cell_angle_beta 90.00
_cell_angle_gamma 120.00
_space_group_name_H-M_alt 'P 1'
_space_group_IT_number 1
_space_group_name_Hall 'P 1'
loop_
_atom_site_label
_atom_site_fract_x
_atom_site_fract_y
_atom_site_fract_z
_atom_site_occupancy
Er1 0.0000 0.0000 0.0000 1
Zn1 0.3333 0.6667 0.7284 1
Zn2 0.6667 0.3333 0.2716 1
Cd1 0.0000 0.0000 0.5000 1
Au1 0.3333 0.6667 0.2496 1
Au2 0.6667 0.3333 0.7504 1
# symmetry: P-3m1
# energy of formation: -0.471 eV per atom
# crystal system: trigonal
# ρ: 11.5 g cm⁻³